{"formula": "AlCoOF2", "functional": "PBE with a Hubbard U", "state": "optimized geometry", "cell": [[3.748, 0.000, 0.000], [0.000, 3.748, 0.000], [0.000, 0.000, 3.698]], "species": ["Al", "Co", "O", "F", "F"], "frac_coords": [[0.000, 0.000, 0.000], [0.500, 0.500, 0.500], [0.000, 0.000, 0.500], [0.000, 0.500, 0.000], [0.500, 0.000, 0.000]], "dos_at_fermi_per_ev_cell": 1.25, "magmom_total_mub_per_cell": 2.0, "relative_energy_ev_per_atom": 0.000, "rho_g_cm3": 4.47, "sg": "P4/mmm, No. 123"}